No. 1
H8AuC2S2N4Cl: PBEsol geometry, meta-GGA SCAN.

extended XYZ file:
```
36
Lattice="-1.2252 -6.3382 -0.0355 2.5019 -2.3057 7.9876 -8.7430 2.5857 -1.2336" Properties=species:S:1:pos:R:3 pbc="T T T"
H -7.1300 -5.1258 3.1092
H -7.1537 -2.0014 1.4229
H -0.3364 -0.9325 3.6094
H -0.3126 -4.0569 5.2957
H -7.6112 -3.9737 4.3848
H -8.6711 -2.7712 0.8837
H 0.1449 -2.0846 2.3338
H 1.2048 -3.2871 5.8349
H -4.9436 -5.2771 2.4835
H -5.1674 -2.6481 0.5114
H -2.5227 -0.7812 4.2351
H -2.2990 -3.4102 6.2072
H -3.6934 -4.6747 3.5761
H -2.6662 -5.7952 6.9460
H -3.7729 -1.3837 3.1425
H -4.8002 -0.2631 -0.2274
Au -0.6126 -3.1691 -0.0177
Au 0.0000 0.0000 0.0000
C -5.6122 -4.1279 4.0413
C -6.9936 -3.3201 -0.1273
C -1.8541 -1.9304 2.6773
C -0.4728 -2.7382 6.8459
S -5.0854 -3.0848 5.3061
S -5.2550 -6.6238 6.6827
S -2.3809 -2.9735 1.4125
S -2.2113 0.5655 0.0359
N -6.8944 -4.3646 3.7741
N -7.6536 -2.7121 0.8554
N -0.5720 -1.6937 2.9445
N 0.1873 -3.3462 5.8632
N -4.6759 -4.6728 3.2686
N -5.6690 -3.2076 -0.1876
N -2.7905 -1.3855 3.4500
N -1.7974 -2.8507 6.9062
Cl -1.8421 -5.4908 4.7682
Cl -5.6242 -0.5675 1.9504
```

## Properties
Energy = -374.4 eV for the cell shown
SG = C2/c (15)
Density = 2.87 g cm⁻³
Spin magnetization = 0.00 μB per formula unit

***

No. 2
P2AuCCl: PBEsol geometry, meta-GGA SCAN.

extended XYZ file:
```
5
Lattice="-0.3523 -3.5300 3.1534 4.4578 -1.3106 -0.9691 1.6342 2.9673 3.5042" Properties=species:S:1:pos:R:3 pbc="T T T"
P 2.2289 -0.6553 -0.4846
P -0.1762 -1.7650 1.5767
C 2.8698 -0.9366 2.8443
Au 0.0000 0.0000 0.0000
Cl 0.8171 1.4837 1.7521
```

## Properties
Uncorrected formation energy = 2.112 eV/atom
Energy above the lowest structure with this stoichiometry = 695 meV/atom
SG = P4/mmm (123)
Density = 4.63 g cm⁻³
Spin magnetization = 0.51 μB per formula unit

***

No. 3
P2AuCCl: PBEsol geometry, meta-GGA SCAN.

extended XYZ file:
```
5
Lattice="4.1403 0.0000 0.0000 0.0000 4.1403 0.0000 0.0000 0.0000 4.1323" Properties=species:S:1:pos:R:3 pbc="T T T"
P 0.0000 2.0701 0.0000
P 2.0701 0.0000 0.0000
C 0.0000 0.0000 0.0000
Au 2.0701 2.0701 2.0662
Cl 0.0000 0.0000 2.0662
```

## Properties
Uncorrected formation energy = 1.417 eV/atom
Energy above the lowest structure with this stoichiometry = 0 meV/atom
SG = P4/mmm (123)
Density = 7.18 g cm⁻³
Spin magnetization = 0.00 μB per formula unit

***

No. 4
AuCSCl2: PBEsol geometry, meta-GGA SCAN.

extended XYZ file:
```
5
Lattice="4.8700 0.0000 0.0000 0.0000 4.7957 0.0000 0.0000 0.0000 4.7957" Properties=species:S:1:pos:R:3 pbc="T T T"
S 2.4350 0.0000 0.0000
Au 0.0000 0.0000 0.0000
C 2.4350 2.3979 2.3979
Cl 0.0000 0.0000 2.3979
Cl 0.0000 2.3979 0.0000
```

## Properties
Uncorrected formation energy = 1.599 eV/atom
SG = P4/mmm (123)
Density = 4.62 g cm⁻³
Spin magnetization = 0.53 μB per formula unit

***

No. 5
CoAu3C: PBEsol geometry, meta-GGA SCAN.

extended XYZ file:
```
5
Lattice="4.2107 0.0000 0.0000 0.0000 4.2107 0.0000 0.0000 0.0000 4.2107" Properties=species:S:1:pos:R:3 pbc="T T T"
Co 2.1053 2.1053 2.1053
C 0.0000 0.0000 0.0000
Au 0.0000 2.1053 0.0000
Au 0.0000 0.0000 2.1053
Au 2.1053 0.0000 0.0000
```

## Properties
SG = Pm-3m (221)
Density = 14.72 g cm⁻³
E_form = 0.792 eV/atom
Spin magnetization = 2.06 μB per formula unit

***

No. 6
Co2NiAuC: PBEsol geometry, meta-GGA SCAN.

extended XYZ file:
```
5
Lattice="4.5478 0.0000 0.0000 0.0000 4.5478 0.0000 0.0000 0.0000 4.5670" Properties=species:S:1:pos:R:3 pbc="T T T"
Ni 0.0000 0.0000 2.2835
C 2.2739 2.2739 2.2835
Au 0.0000 0.0000 0.0000
Co 0.0000 2.2739 0.0000
Co 2.2739 0.0000 0.0000
```

## Properties
SG = P4/mmm (123)
Density = 6.78 g cm⁻³
E_form = 2.486 eV/atom
Spin magnetization = 6.88 μB per formula unit